[1]
Pr6Sm5Er | GGA-PBE | optimized geometry

## Properties
For the density of states at the Fermi level, the calculation gives 1.355 states/eV per atom. Its formation energy is 12 meV per atom. For the total DFT energy (no corrections), the calculation gives -56.69 eV/cell. The calculation puts the theoretical density at 7.0 g/cm3.

a = 6.358 Å, b = 6.358 Å, c = 12.072 Å
α = 95.03°, β = 95.03°, γ = 120.01°
Element x y z (fractional)
Pr 0.083 0.415 0.249
Pr 0.250 0.250 0.751
Pr 0.415 0.083 0.249
Pr 0.585 0.917 0.751
Pr 0.750 0.750 0.249
Pr 0.917 0.585 0.751
Sm 0.166 0.834 0.500
Sm 0.333 0.667 0.000
Sm 0.500 0.500 0.500
Sm 0.667 0.333 0.000
Sm 0.834 0.166 0.500
Er 0.000 0.000 0.000

=====

[2]
MnRe2TcAs | GGA-PBE | optimized geometry

## Properties
For the density of states at the Fermi level, the calculation gives 1.335 states/eV per atom. Its formation energy is 1808 meV per atom. For the total DFT energy (no corrections), the calculation gives -40.04 eV/cell. The calculation puts the theoretical density at 11.1 g/cm3.

a = 4.502 Å, b = 4.502 Å, c = 4.450 Å
α = 90.00°, β = 90.00°, γ = 90.00°
Element x y z (fractional)
Mn 0.000 0.000 0.000
Re 0.000 0.500 0.500
Re 0.500 0.000 0.500
Tc 0.500 0.500 0.000
As 0.500 0.500 0.500

=====

density of states at the Fermi level of number 1 (Pr6Sm5Er)?
1.355 states/eV per atom